{
  "formula": "Ac8Pr2Dy",
  "functional": "PBE-GGA",
  "state": "optimized geometry",
  "polymorph_energy_mev_per_atom": 331.2,
  "space_group": "No. 12",
  "cell": [[6.3185, 0.2616, 0.2238], [1.2946, 9.0590, -0.5558], [1.2946, 0.8552, 9.0356]],
  "species": ["Ac", "Ac", "Ac", "Ac", "Ac", "Ac", "Ac", "Ac", "Dy", "Pr", "Pr"],
  "fractional_positions": [[0.8010, 0.1416, 0.6580], [0.1168, 0.7322, 0.7322], [0.7085, 0.5840, 0.5840], [0.8010, 0.6580, 0.1416], [0.8832, 0.2678, 0.2678], [0.2915, 0.4160, 0.4160], [0.1990, 0.8584, 0.3420], [0.1990, 0.3420, 0.8584], [0.0000, 0.0000, 0.0000], [0.4855, 0.1299, 0.1299], [0.5145, 0.8701, 0.8701]]
}


{
  "formula": "ZrCoHg",
  "functional": "PBE-GGA",
  "state": "optimized geometry",
  "polymorph_energy_mev_per_atom": 0.0,
  "space_group": "No. 63",
  "cell": [[3.3657, 0.0000, -0.5654], [0.0000, 3.8343, 0.0000], [-0.2918, 0.0000, 8.5634]],
  "species": ["Zr", "Zr", "Co", "Co", "Hg", "Hg"],
  "fractional_positions": [[0.4148, 0.2500, 0.8296], [0.5852, 0.7500, 0.1704], [0.0443, 0.2500, 0.0886], [0.9557, 0.7500, 0.9114], [0.7987, 0.7500, 0.5973], [0.2013, 0.2500, 0.4027]]
}


{
  "formula": "LaErTlPt",
  "functional": "PBE-GGA",
  "state": "optimized geometry",
  "space_group": "No. 216",
  "cell": [[-0.8031, -3.8560, -3.5019], [3.7241, -1.1580, -3.5449], [2.6935, -4.5136, 0.3863]],
  "species": ["Er", "Tl", "Pt", "La"],
  "fractional_positions": [[0.0000, 0.0000, 0.0000], [0.2500, 0.2500, 0.2500], [0.7500, 0.7500, 0.7500], [0.5000, 0.5000, 0.5000]]
}


{
  "formula": "Pm6PrSmEr2",
  "functional": "PBE-GGA",
  "state": "optimized geometry",
  "space_group": "No. 15",
  "cell": [[9.2592, -2.0132, -2.0893], [0.8093, 8.6633, -1.9816], [0.8093, -2.3014, 8.5839]],
  "species": ["Er", "Er", "Er", "Er", "Pm", "Pm", "Pm", "Pm", "Pm", "Pm", "Pm", "Pm", "Pm", "Pm", "Pm", "Pm", "Pr", "Pr", "Sm", "Sm"],
  "fractional_positions": [[0.0479, 0.2948, 0.1978], [0.9521, 0.7052, 0.8022], [0.4521, 0.8022, 0.7052], [0.5479, 0.1978, 0.2948], [0.9440, 0.8897, 0.2414], [0.6814, 0.0167, 0.5634], [0.1814, 0.5634, 0.0167], [0.8186, 0.4366, 0.9833], [0.8808, 0.2950, 0.5134], [0.0560, 0.1103, 0.7586], [0.3808, 0.5134, 0.2950], [0.5560, 0.7586, 0.1103], [0.6192, 0.4866, 0.7050], [0.3186, 0.9833, 0.4366], [0.1192, 0.7050, 0.4866], [0.4440, 0.2414, 0.8897], [0.7500, 0.5934, 0.4066], [0.2500, 0.4066, 0.5934], [0.7500, 0.0316, 0.9684], [0.2500, 0.9684, 0.0316]]
}


We obtain M_tot values of 0.00 0.65 0.00 0.00 μB per cell for the records listed above, in that order.
We obtain E_form values of 0.36 -0.23 -0.64 0.12 eV/atom for the records listed above, in that order.